(one)
PBE NaInNiSn, optimized geometry; size of the total moment = 0.00 μB per cell; space-group type = F-43m, No. 216
1.0
0.000 3.376 3.376
3.376 0.000 3.376
3.376 3.376 0.000
In Na Ni Sn
1 1 1 1
Cartesian
3.376 3.376 3.376 In
5.064 5.064 5.064 Na
1.688 1.688 1.688 Ni
0.000 0.000 0.000 Sn

---

(two)
PBE NaInNiSn, optimized geometry; size of the total moment = 0.00 μB per cell; space-group type = F-43m, No. 216
1.0
3.326 -1.390 3.295
-1.370 -1.002 4.579
0.061 -4.609 1.614
In Na Ni Sn
1 1 1 1
Cartesian
0.504 -1.750 2.372 In
1.513 -5.250 7.116 Na
1.008 -3.500 4.744 Ni
0.000 0.000 0.000 Sn

---

(three)
PBE NaInNiSn, optimized geometry; size of the total moment = 0.00 μB per cell; space-group type = F-43m, No. 216
1.0
-1.840 -4.366 -1.073
-1.025 -3.145 3.558
-4.625 -1.020 1.083
In Na Ni Sn
1 1 1 1
Cartesian
0.000 0.000 0.000 In
-5.617 -6.398 2.676 Na
-3.745 -4.265 1.784 Ni
-1.872 -2.133 0.892 Sn

---

Computed energies relative to the best structure, in kJ/mol of atoms: (one) 0.0; (two) 17.3; (three) 14.3